1.
A plane-wave DFT calculation with PBE was carried out for crystalline Ba2TcPb at its relaxed geometry.

Cell and atoms, written as CIF:
```
data_Ba2TcPb
_space_group_name_H-M_alt 'I -4 2 d'
_space_group_IT_number 122
_space_group_name_Hall 'I -4 2bw'
_cell_length_a 11.524
_cell_length_b 11.524
_cell_length_c 5.388
_cell_angle_alpha 90.00
_cell_angle_beta 90.00
_cell_angle_gamma 90.00
loop_
_atom_site_label
_atom_site_type_symbol
_atom_site_fract_x
_atom_site_fract_y
_atom_site_fract_z
Ba1 Ba 0.079 0.250 0.125
Tc1 Tc 0.000 0.000 0.000
Pb1 Pb 0.000 0.000 0.500
```

## Properties
Density of states at the Fermi level, states/eV/f.u.: 5.0
Formation energy, eV per atom: 0.39
Total magnetization, Bohr magnetons per cell: 3.3

=====

2.
A plane-wave DFT calculation with PBE was carried out for crystalline BaTcPb2 at its relaxed geometry.

Cell and atoms, written as CIF:
```
data_BaTcPb2
_space_group_name_H-M_alt 'I -4 m 2'
_space_group_IT_number 119
_space_group_name_Hall 'I -4 -2'
_cell_length_a 4.850
_cell_length_b 4.850
_cell_length_c 10.141
_cell_angle_alpha 90.00
_cell_angle_beta 90.00
_cell_angle_gamma 90.00
loop_
_atom_site_label
_atom_site_type_symbol
_atom_site_fract_x
_atom_site_fract_y
_atom_site_fract_z
Ba1 Ba 0.000 0.000 0.000
Tc1 Tc 0.000 0.500 0.250
Pb1 Pb 0.000 0.000 0.500
Pb2 Pb 0.000 0.500 0.750
```

## Properties
Density of states at the Fermi level, states/eV/f.u.: 3.3
ΔE to the lowest computed polymorph, meV per atom: 404
Formation energy, eV per atom: 0.58
Total magnetization, Bohr magnetons per cell: 6.0